# Pm4TmS5 | the Alexandria database | PBE | optimized geometry
data_Pm4TmS5
_space_group_name_H-M_alt 'I 4/m m m'
_space_group_IT_number 139
_space_group_name_Hall '-I 4 2'
_cell_length_a 3.994
_cell_length_b 3.994
_cell_length_c 28.327
_cell_angle_alpha 90.00
_cell_angle_beta 90.00
_cell_angle_gamma 90.00
loop_
_atom_site_label
_atom_site_type_symbol
_atom_site_fract_x
_atom_site_fract_y
_atom_site_fract_z
Pm1 Pm 0.000 0.000 0.101
Pm2 Pm 0.000 0.000 0.304
Tm1 Tm 0.000 0.000 0.500
S1 S 0.000 0.000 0.000
S2 S 0.000 0.000 0.202
S3 S 0.000 0.000 0.404
# V   22.6 Å³ per atom
# Electronic total energy   -6.412 eV per atom
# ρ   6682 kg/m³
# Total moment   0.0 μB/cell

---

# Pm3TmS4 | the Alexandria database | PBE | optimized geometry
data_Pm3TmS4
_space_group_name_H-M_alt 'P 1 2/c 1'
_space_group_IT_number 13
_space_group_name_Hall '-P 2yc'
_cell_length_a 6.957
_cell_length_b 7.919
_cell_length_c 6.898
_cell_angle_alpha 90.00
_cell_angle_beta 109.34
_cell_angle_gamma 90.00
loop_
_atom_site_label
_atom_site_type_symbol
_atom_site_fract_x
_atom_site_fract_y
_atom_site_fract_z
Pm1 Pm 0.000 0.122 0.250
Pm2 Pm 0.000 0.373 0.750
Pm3 Pm 0.500 0.123 0.750
Tm1 Tm 0.500 0.373 0.250
S1 S 0.257 0.132 0.007
S2 S 0.263 0.381 0.500
# V   22.4 Å³ per atom
# Energy above the most stable polymorph in this dataset   0 meV/atom
# ρ   6781 kg/m³
# Total moment   0.0 μB/cell

---

# PmTm3S6 | the Alexandria database | PBE | optimized geometry
data_PmTm3S6
_space_group_name_H-M_alt 'P 1 21/m 1'
_space_group_IT_number 11
_space_group_name_Hall '-P 2yb'
_cell_length_a 10.975
_cell_length_b 3.940
_cell_length_c 11.235
_cell_angle_alpha 90.00
_cell_angle_beta 108.85
_cell_angle_gamma 90.00
loop_
_atom_site_label
_atom_site_type_symbol
_atom_site_fract_x
_atom_site_fract_y
_atom_site_fract_z
Pm1 Pm 0.048 0.250 0.195
Tm1 Tm 0.161 0.250 0.586
Tm2 Tm 0.319 0.750 0.998
Tm3 Tm 0.440 0.250 0.333
S1 S 0.082 0.750 0.406
S2 S 0.117 0.250 0.964
S3 S 0.197 0.750 0.749
S4 S 0.264 0.750 0.227
S5 S 0.395 0.250 0.559
S6 S 0.477 0.250 0.112
# V   23.0 Å³ per atom
# Energy above the most stable polymorph in this dataset   0 meV/atom
# ρ   6098 kg/m³
# Total moment   0.0 μB/cell

---

# Pm2Tm3S4 | the Alexandria database | PBE | optimized geometry
data_Pm2Tm3S4
_space_group_name_H-M_alt 'P -3 m 1'
_space_group_IT_number 164
_space_group_name_Hall '-P 3 2"'
_cell_length_a 3.8746
_cell_length_b 3.8746
_cell_length_c 16.0205
_cell_angle_alpha 90.00
_cell_angle_beta 90.00
_cell_angle_gamma 120.00
loop_
_atom_site_label
_atom_site_type_symbol
_atom_site_fract_x
_atom_site_fract_y
_atom_site_fract_z
Pm1 Pm 0.3333 0.6667 0.2077
Tm1 Tm 0.0000 0.0000 0.0000
Tm2 Tm 0.3333 0.6667 0.5882
S1 S 0.0000 0.0000 0.3160
S2 S 0.3333 0.6667 0.9044
# V   23.1 Å³ per atom
# Electronic total energy   -6.130 eV per atom
# ρ   7375 kg/m³
# Total moment   0.0 μB/cell